Computed, not measured: Ac3Ni4Ir2 after structural relaxation at the GGA-PBE level of DFT.

a = 5.999 Å, b = 5.999 Å, c = 8.399 Å
α = 98.70°, β = 98.70°, γ = 41.01°
Positions (direct):
Ir 0.611 0.611 0.277
Ni 0.276 0.276 0.946
Ac 0.667 0.667 0.666
Ni 0.054 0.054 0.390
Ni 0.724 0.724 0.054
Ni 0.946 0.946 0.610
Ir 0.389 0.389 0.723
Ac 0.333 0.333 0.334
Ac 0.000 0.000 0.000

Computed properties:
E: -6.2396 eV per atom